(1)
## SrZr2In (PBE-GGA)

Data for SrZr2In after structural relaxation.

Fermi-level density of states: 5.2 states/eV/f.u.
Symmetry: I-4m2 (119)
VASP energy: -5.179 eV/atom
Calculated formation energy: 200.0 meV per atom
Total magnetic moment: 0.0 Bohr magnetons per cell

abc: 5.788 5.788 5.788
angles: 132.31 132.31 69.73
Fractional positions:
Sr (0.000, 0.000, 0.000)
Zr (0.250, 0.750, 0.500)
Zr (0.500, 0.500, 0.000)
In (0.750, 0.250, 0.500)

=====

(2)
## DyY6Tm2 (PBE-GGA)

Data for DyY6Tm2 after structural relaxation.

Fermi-level density of states: 17.7 states/eV/f.u.
Symmetry: C2/m (12)
Offset from the most stable computed form: 0.041 eV/atom
VASP energy: -5.704 eV/atom
Calculated formation energy: 110.2 meV per atom
Total magnetic moment: 0.0 Bohr magnetons per cell

abc: 8.683 8.683 11.838
angles: 123.95 123.95 23.32
Fractional positions:
Dy (0.000, 0.000, 0.000)
Y (0.048, 0.048, 0.749)
Y (0.229, 0.229, 0.112)
Y (0.386, 0.386, 0.444)
Y (0.614, 0.614, 0.556)
Y (0.771, 0.771, 0.888)
Y (0.952, 0.952, 0.251)
Tm (0.329, 0.329, 0.678)
Tm (0.671, 0.671, 0.322)

=====

(3)
## NaHg2Au6 (PBE-GGA)

Data for NaHg2Au6 after structural relaxation.

Fermi-level density of states: 4.2 states/eV/f.u.
Symmetry: Fm-3m (225)
VASP energy: -2.068 eV/atom
Calculated formation energy: 330.6 meV per atom
Total magnetic moment: 0.0 Bohr magnetons per cell

abc: 6.498 6.498 6.498
angles: 60.00 60.00 60.00
Fractional positions:
Na (0.000, 0.000, 0.000)
Hg (0.250, 0.250, 0.250)
Hg (0.750, 0.750, 0.750)
Au (0.283, 0.283, 0.717)
Au (0.283, 0.717, 0.283)
Au (0.283, 0.717, 0.717)
Au (0.717, 0.283, 0.283)
Au (0.717, 0.283, 0.717)
Au (0.717, 0.717, 0.283)